DFT (PBE-GGA) results for a relaxed NdTmP crystal.

a = 3.936 Å, b = 5.491 Å, c = 7.934 Å
α = 90.00°, β = 90.09°, γ = 90.00°
Sites, in units of the cell vectors:
Nd 0.249 0.250 0.125
Nd 0.751 0.750 0.875
Tm 0.251 0.250 0.619
Tm 0.749 0.750 0.381
P 0.250 0.750 0.618
P 0.750 0.250 0.382

Symmetry   P2_1/m, No. 11
Density of states at the Fermi level   0.70 states/eV per atom
Energy of formation   -2.89 eV/f.u.
Uncorrected energy   -5.8451 eV/atom